This record from Alexandria via LeMat-Bulk describes a relaxed ZrCuMo2 crystal. The functional is PBE.

## Properties
DOS at the Fermi energy ... 2.9 states/eV per cell
Energy relative to the lowest polymorph listed for this composition ... 203 meV/atom
SG ... No. 99
Energy of formation ... 0.223 eV/atom
Calculated total energy ... -33.415 eV for the cell shown
Calculated volume ... 66 Å³ per cell

Lattice parameters (Å, degrees): 2.7246 2.7246 8.8504 90.00 90.00 90.00
Sites, in units of the cell vectors:
Zr  0.0000  0.0000  0.5169
Cu  0.5000  0.5000  0.7648
Mo  0.5000  0.5000  0.2387
Mo  0.0000  0.0000  0.9796